(1)
Al2ZnCl: relaxed, PBE-GGA.

Structure (extended XYZ):
```
4
Lattice="0.0000 3.4087 3.4087 3.4087 0.0000 3.4087 3.4087 3.4087 0.0000" Properties=species:S:1:pos:R:3 pbc="T T T"
Al 0.0000 0.0000 0.0000
Al 1.7043 1.7043 1.7043
Zn 5.1130 5.1130 5.1130
Cl 3.4087 3.4087 3.4087
```

Calculated values
- Crystal system: cubic
- Theoretical density: 3.25 Mg/m³
- Calculated volume: 19.8 Å³/atom
- Final energy: -9.61 eV/cell
- Energy relative to the elements, uncorrected: 1.0 eV/f.u.
- Relative energy among the computed polymorphs: 0.3783 eV per atom



(2)
Al2ZnCl: relaxed, PBE-GGA.

Structure (extended XYZ):
```
4
Lattice="3.9971 0.0000 0.0000 0.0000 3.9971 0.0000 0.0000 0.0000 5.1150" Properties=species:S:1:pos:R:3 pbc="T T T"
Al 0.0000 1.9985 0.0000
Al 1.9985 0.0000 0.0000
Zn 0.0000 0.0000 2.5575
Cl 1.9985 1.9985 2.5575
```

Calculated values
- Crystal system: tetragonal
- Theoretical density: 3.15 Mg/m³
- Calculated volume: 20.4 Å³/atom
- Final energy: -9.89 eV/cell
- Energy relative to the elements, uncorrected: 0.7 eV/f.u.
- Relative energy among the computed polymorphs: 0.3064 eV per atom



(3)
Al2ZnCl: relaxed, PBE-GGA.

Structure (extended XYZ):
```
4
Lattice="1.5318 -2.6799 0.0000 1.5318 2.6799 0.0000 0.0000 0.0000 10.0291" Properties=species:S:1:pos:R:3 pbc="T T T"
Al 0.0000 0.0000 0.0000
Al 1.5318 0.0000 2.3071
Zn 0.0000 0.0000 4.5701
Cl 1.5318 0.0000 8.2360
```

Calculated values
- Crystal system: orthorhombic
- Theoretical density: 3.12 Mg/m³
- Calculated volume: 20.6 Å³/atom
- Final energy: -10.93 eV/cell
- Energy relative to the elements, uncorrected: -0.3 eV/f.u.
- Relative energy among the computed polymorphs: 0.0485 eV per atom



(4)
Al2ZnCl: relaxed, PBE-GGA.

Structure (extended XYZ):
```
4
Lattice="1.5532 0.8967 8.6050 -1.5532 0.8967 8.6050 0.0000 -1.7935 8.6050" Properties=species:S:1:pos:R:3 pbc="T T T"
Al 0.0000 0.0000 6.4524
Al 0.0000 0.0000 19.3626
Zn 0.0000 0.0000 0.0000
Cl 0.0000 0.0000 12.9075
```

Calculated values
- Crystal system: trigonal
- Theoretical density: 3.58 Mg/m³
- Calculated volume: 18.0 Å³/atom
- Final energy: -10.69 eV/cell
- Energy relative to the elements, uncorrected: -0.1 eV/f.u.
- Relative energy among the computed polymorphs: 0.1079 eV per atom



(5)
Al2ZnCl: relaxed, PBE-GGA.

Structure (extended XYZ):
```
4
Lattice="3.1704 0.0000 0.0000 0.0000 3.1704 0.0000 0.0000 0.0000 7.4771" Properties=species:S:1:pos:R:3 pbc="T T T"
Al 0.0000 0.0000 0.0000
Al 1.5852 1.5852 1.7087
Zn 1.5852 1.5852 5.9544
Cl 0.0000 0.0000 3.4610
```

Calculated values
- Crystal system: tetragonal
- Theoretical density: 3.42 Mg/m³
- Calculated volume: 18.8 Å³/atom
- Final energy: -10.75 eV/cell
- Energy relative to the elements, uncorrected: -0.1 eV/f.u.
- Relative energy among the computed polymorphs: 0.0931 eV per atom



(6)
Al2ZnCl: relaxed, PBE-GGA.

Structure (extended XYZ):
```
4
Lattice="4.9873 0.0000 0.0000 0.0000 4.9873 0.0000 0.0000 0.0000 3.0059" Properties=species:S:1:pos:R:3 pbc="T T T"
Al 0.0000 2.4937 0.0000
Al 2.4937 0.0000 0.0000
Zn 0.0000 0.0000 1.5030
Cl 2.4937 2.4937 1.5030
```

Calculated values
- Crystal system: tetragonal
- Theoretical density: 3.44 Mg/m³
- Calculated volume: 18.7 Å³/atom
- Final energy: -10.49 eV/cell
- Energy relative to the elements, uncorrected: 0.1 eV/f.u.
- Relative energy among the computed polymorphs: 0.1564 eV per atom



Copy entry 5 word for word.
Al2ZnCl: relaxed, PBE-GGA.

Structure (extended XYZ):
```
4
Lattice="3.1704 0.0000 0.0000 0.0000 3.1704 0.0000 0.0000 0.0000 7.4771" Properties=species:S:1:pos:R:3 pbc="T T T"
Al 0.0000 0.0000 0.0000
Al 1.5852 1.5852 1.7087
Zn 1.5852 1.5852 5.9544
Cl 0.0000 0.0000 3.4610
```

Calculated values
- Crystal system: tetragonal
- Theoretical density: 3.42 Mg/m³
- Calculated volume: 18.8 Å³/atom
- Final energy: -10.75 eV/cell
- Energy relative to the elements, uncorrected: -0.1 eV/f.u.
- Relative energy among the computed polymorphs: 0.0931 eV per atom



Among the records above, which one has the highest relative energy among the computed polymorphs?
number 1



What did the third record say?
Al2ZnCl: relaxed, PBE-GGA.

Structure (extended XYZ):
```
4
Lattice="1.5318 -2.6799 0.0000 1.5318 2.6799 0.0000 0.0000 0.0000 10.0291" Properties=species:S:1:pos:R:3 pbc="T T T"
Al 0.0000 0.0000 0.0000
Al 1.5318 0.0000 2.3071
Zn 0.0000 0.0000 4.5701
Cl 1.5318 0.0000 8.2360
```

Calculated values
- Crystal system: orthorhombic
- Theoretical density: 3.12 Mg/m³
- Calculated volume: 20.6 Å³/atom
- Final energy: -10.93 eV/cell
- Energy relative to the elements, uncorrected: -0.3 eV/f.u.
- Relative energy among the computed polymorphs: 0.0485 eV per atom